Ga2OsPbO8 | PBE-GGA | relaxed

Magnetic moment   0.00 μB per formula unit
Symmetry   Cmmm

Lattice parameters (Å, degrees): 4.6317 4.6312 6.5359 90.00 90.00 88.78
Fractional positions:
Ga  0.5000  0.5000  0.7429
Ga  0.5000  0.5000  0.2571
Os  0.0000  0.0000  0.0000
Pb  0.0000  0.0000  0.5000
O  0.2022  0.7976  0.2205
O  0.7165  0.7166  0.0000
O  0.7978  0.2024  0.2205
O  0.7978  0.2024  0.7795
O  0.2835  0.2834  0.0000
O  0.2022  0.7976  0.7795
O  0.6782  0.6784  0.5000
O  0.3218  0.3216  0.5000

---

PmGa2OsO8 | PBE-GGA | relaxed

Magnetic moment   0.80 μB per formula unit
Symmetry   C2/m

Lattice parameters (Å, degrees): 4.8074 4.8073 6.7788 84.03 84.03 81.97
Fractional positions:
Pm  0.0000  0.0000  0.5000
Ga  0.4594  0.4594  0.7165
Ga  0.5406  0.5406  0.2835
Os  0.0000  0.0000  0.0000
O  0.2144  0.7945  0.2102
O  0.7472  0.7475  0.0474
O  0.7948  0.2146  0.2102
O  0.7856  0.2055  0.7898
O  0.2528  0.2525  0.9526
O  0.2052  0.7854  0.7898
O  0.6764  0.6766  0.5049
O  0.3236  0.3234  0.4951

---

PmGaOsO6 | PBE-GGA | relaxed

Magnetic moment   2.00 μB per formula unit
Symmetry   P-31c

Lattice parameters (Å, degrees): 5.1989 5.1989 10.0727 90.00 90.00 120.00
Fractional positions:
Pm  0.0000  0.0000  0.0000
Pm  0.0000  0.0000  0.5000
Ga  0.6667  0.3333  0.2500
Ga  0.3333  0.6667  0.7500
Os  0.3333  0.6667  0.2500
Os  0.6667  0.3333  0.7500
O  0.6296  0.6394  0.1431
O  0.0098  0.3704  0.1431
O  0.3704  0.0098  0.6431
O  0.9902  0.6296  0.8569
O  0.3606  0.3704  0.3569
O  0.0098  0.6394  0.3569
O  0.6394  0.0098  0.8569
O  0.6296  0.9902  0.3569
O  0.9902  0.3606  0.6431
O  0.3606  0.9902  0.1431
O  0.6394  0.6296  0.6431
O  0.3704  0.3606  0.8569

---

PrGa2OsO8 | PBE-GGA | relaxed

Magnetic moment   0.75 μB per formula unit
Symmetry   C2/m

Lattice parameters (Å, degrees): 4.8382 4.8380 6.8668 83.34 83.34 80.78
Fractional positions:
Pr  0.0000  0.0000  0.5000
Ga  0.4578  0.4578  0.7158
Ga  0.5422  0.5422  0.2842
Os  0.0000  0.0000  0.0000
O  0.2162  0.7927  0.2073
O  0.7514  0.7515  0.0513
O  0.7928  0.2162  0.2073
O  0.7838  0.2073  0.7927
O  0.2486  0.2485  0.9487
O  0.2072  0.7838  0.7927
O  0.6736  0.6736  0.5028
O  0.3264  0.3264  0.4972

---

RbGaOsO6 | PBE-GGA | relaxed

Magnetic moment   0.00 μB per formula unit
Symmetry   P312

Lattice parameters (Å, degrees): 5.2566 5.2566 6.2939 90.00 90.00 60.00
Fractional positions:
Rb  0.0000  0.0000  0.0000
Ga  0.6666  0.6667  0.5000
Os  0.3333  0.3333  0.5000
O  0.0182  0.3899  0.3271
O  0.3898  0.0182  0.6729
O  0.5919  0.3899  0.6729
O  0.0182  0.5919  0.6729
O  0.3898  0.5919  0.3270
O  0.5919  0.0182  0.3271

---

GaOsRuO6 | PBE-GGA | relaxed

Magnetic moment   0.00 μB per formula unit
Symmetry   P-31c

Lattice parameters (Å, degrees): 5.0714 5.0714 8.5067 90.00 90.00 120.00
Fractional positions:
Ga  0.6667  0.3333  0.2500
Ga  0.3333  0.6667  0.7500
Os  0.3333  0.6667  0.2500
Os  0.6667  0.3333  0.7500
Ru  0.0000  0.0000  0.0000
Ru  0.0000  0.0000  0.5000
O  0.6589  0.6646  0.1276
O  0.0057  0.3411  0.1276
O  0.3411  0.0057  0.6276
O  0.9943  0.6589  0.8724
O  0.3354  0.3411  0.3724
O  0.0057  0.6646  0.3724
O  0.6646  0.0057  0.8724
O  0.6589  0.9943  0.3724
O  0.9943  0.3354  0.6276
O  0.3354  0.9943  0.1276
O  0.6646  0.6589  0.6276
O  0.3411  0.3354  0.8724

---

Number 1: DFT total energy -6.292 eV per atom. Number 2: DFT total energy -6.855 eV per atom. Number 3: DFT total energy -7.299 eV per atom. Number 4: DFT total energy -6.839 eV per atom. Number 5: DFT total energy -6.269 eV per atom. Number 6: DFT total energy -7.021 eV per atom.